Record 1
This record from the Alexandria database describes a relaxed structure of Cd2Cu2Pd5Au. The functional is PBE-GGA.

Values from the calculation:
Volume in Å³/cell: 332.5
Energy of formation from the pure elements in meV per atom: -112
Magnetic moment in μB/f.u.: 0.0
Density of states at the Fermi level in states/eV per cell: 18.54

```
data_Cd2Cu2Pd5Au
_chemical_formula_sum 'Cd4 Cu4 Pd10 Au2'
_cell_length_a 9.132
_cell_length_b 9.132
_cell_length_c 3.987
_cell_angle_alpha 90.00
_cell_angle_beta 90.00
_cell_angle_gamma 90.00
_symmetry_space_group_name_H-M 'P 4/m b m'
_symmetry_Int_Tables_number 127
_symmetry_space_group_name_Hall '-P 4 2ab'
loop_
_atom_site_label
_atom_site_type_symbol
_atom_site_fract_x
_atom_site_fract_y
_atom_site_fract_z
Cd1 Cd 0.173 0.327 0.000
Cu1 Cu 0.123 0.623 0.000
Pd1 Pd 0.000 0.500 0.500
Pd2 Pd 0.079 0.798 0.500
Au1 Au 0.000 0.000 0.000
```

---

Record 2
This record from the Alexandria database describes a relaxed structure of Cd2Cu2PdAu5. The functional is PBE-GGA.

Values from the calculation:
Volume in Å³/cell: 356.6
Energy of formation from the pure elements in meV per atom: -91
Magnetic moment in μB/f.u.: 0.0
Density of states at the Fermi level in states/eV per cell: 5.81

```
data_Cd2Cu2PdAu5
_chemical_formula_sum 'Cd4 Cu4 Pd2 Au10'
_cell_length_a 9.365
_cell_length_b 9.365
_cell_length_c 4.066
_cell_angle_alpha 90.00
_cell_angle_beta 90.00
_cell_angle_gamma 90.00
_symmetry_space_group_name_H-M 'P 4/m b m'
_symmetry_Int_Tables_number 127
_symmetry_space_group_name_Hall '-P 4 2ab'
loop_
_atom_site_label
_atom_site_type_symbol
_atom_site_fract_x
_atom_site_fract_y
_atom_site_fract_z
Cd1 Cd 0.173 0.327 0.000
Cu1 Cu 0.123 0.623 0.000
Pd1 Pd 0.000 0.000 0.000
Au1 Au 0.000 0.500 0.500
Au2 Au 0.084 0.803 0.500
```

---

Record 3
This record from the Alexandria database describes a relaxed structure of CdCuPdAu. The functional is PBE-GGA.

Values from the calculation:
Volume in Å³/cell: 65.7
Energy of formation from the pure elements in meV per atom: -207
Magnetic moment in μB/f.u.: 0.0
Density of states at the Fermi level in states/eV per cell: 1.20

```
data_CdCuPdAu
_chemical_formula_sum 'Cd1 Cu1 Pd1 Au1'
_cell_length_a 3.983
_cell_length_b 3.986
_cell_length_c 4.136
_cell_angle_alpha 90.00
_cell_angle_beta 90.00
_cell_angle_gamma 90.00
_symmetry_space_group_name_H-M 'P m m m'
_symmetry_Int_Tables_number 47
loop_
_symmetry_equiv_pos_as_xyz
'x,y,z'
'-x,-y,-z'
'-x,-y,z'
'x,y,-z'
'x,-y,-z'
'-x,y,z'
'-x,y,-z'
'x,-y,z'
loop_
_atom_site_label
_atom_site_type_symbol
_atom_site_fract_x
_atom_site_fract_y
_atom_site_fract_z
Cd1 Cd 0.000 0.000 0.000
Cu1 Cu 0.500 0.000 0.500
Pd1 Pd 0.500 0.500 0.000
Au1 Au 0.000 0.500 0.500
```